1.
# PBE AsSe2N, relaxed
data_AsSe2N
_chemical_formula_sum 'As1 Se2 N1'
_symmetry_space_group_name_H-M 'P 1'
_symmetry_Int_Tables_number 1
_cell_length_a 8.507
_cell_length_b 8.507
_cell_length_c 8.507
_cell_angle_alpha 21.33
_cell_angle_beta 21.33
_cell_angle_gamma 21.33
loop_
_symmetry_equiv_pos_as_xyz
'x,y,z'
loop_
_atom_site_label
_atom_site_fract_x
_atom_site_fract_y
_atom_site_fract_z
As1 0.000 0.000 0.000
Se1 0.892 0.892 0.892
Se2 0.108 0.108 0.108
N1 0.500 0.500 0.500
# total magnetic moment	0.00	μB per formula unit
# polymorph energy (0 for the lowest one)	77.3	kJ per mole of atoms
# energy relative to the elements, uncorrected	1.118	eV per atom
# space-group type	R-3m, No. 166
# energy	-3.87	eV/atom


2.
# PBE BaSb2ICl, relaxed
data_BaSb2ICl
_chemical_formula_sum 'Ba1 Sb2 I1 Cl1'
_symmetry_space_group_name_H-M 'P 1'
_symmetry_Int_Tables_number 1
_cell_length_a 5.237
_cell_length_b 5.237
_cell_length_c 6.961
_cell_angle_alpha 90.00
_cell_angle_beta 90.00
_cell_angle_gamma 90.00
loop_
_symmetry_equiv_pos_as_xyz
'x,y,z'
loop_
_atom_site_label
_atom_site_fract_x
_atom_site_fract_y
_atom_site_fract_z
I1 0.000 0.000 0.500
Sb1 0.000 0.500 0.000
Sb2 0.500 0.000 0.000
Ba1 0.500 0.500 0.500
Cl1 0.000 0.000 0.000
# total magnetic moment	0.01	μB per formula unit
# polymorph energy (0 for the lowest one)	0.0	kJ per mole of atoms
# energy relative to the elements, uncorrected	-0.333	eV per atom
# space-group type	P4/mmm, No. 123
# energy	-3.05	eV/atom


3.
# PBE SrSm2Er, relaxed
data_SrSm2Er
_chemical_formula_sum 'Sr1 Sm2 Er1'
_symmetry_space_group_name_H-M 'P 1'
_symmetry_Int_Tables_number 1
_cell_length_a 3.699
_cell_length_b 3.699
_cell_length_c 12.453
_cell_angle_alpha 81.46
_cell_angle_beta 81.46
_cell_angle_gamma 60.00
loop_
_symmetry_equiv_pos_as_xyz
'x,y,z'
loop_
_atom_site_label
_atom_site_fract_x
_atom_site_fract_y
_atom_site_fract_z
Sr1 0.500 0.500 0.499
Sm1 0.076 0.076 0.771
Sm2 0.257 0.257 0.229
Er1 0.666 0.666 0.001
# total magnetic moment	0.00	μB per formula unit
# polymorph energy (0 for the lowest one)	0.0	kJ per mole of atoms
# energy of formation	111	meV/atom
# space-group type	R3m, No. 160
# energy	-3.81	eV/atom


4.
# PBE RbInGa2F8, relaxed
data_RbInGa2F8
_chemical_formula_sum 'Rb1 In1 Ga2 F8'
_symmetry_space_group_name_H-M 'P 1'
_symmetry_Int_Tables_number 1
_cell_length_a 5.780
_cell_length_b 5.780
_cell_length_c 9.034
_cell_angle_alpha 90.00
_cell_angle_beta 90.00
_cell_angle_gamma 120.00
loop_
_symmetry_equiv_pos_as_xyz
'x,y,z'
loop_
_atom_site_label
_atom_site_fract_x
_atom_site_fract_y
_atom_site_fract_z
Rb1 0.000 0.000 0.000
In1 0.000 0.000 0.500
Ga1 0.667 0.333 0.211
Ga2 0.333 0.667 0.789
F1 0.333 0.667 0.988
F2 0.341 0.258 0.274
F3 0.742 0.083 0.274
F4 0.667 0.333 0.012
F5 0.258 0.917 0.726
F6 0.659 0.742 0.726
F7 0.083 0.341 0.726
F8 0.917 0.659 0.274
# total magnetic moment	0.00	μB per formula unit
# energy relative to the elements, uncorrected	-2.479	eV per atom
# space-group type	P-3, No. 147
# energy	-4.54	eV/atom


5.
# PBE TlPbNO2, relaxed
data_TlPbNO2
_chemical_formula_sum 'Tl1 Pb1 N1 O2'
_symmetry_space_group_name_H-M 'P 1'
_symmetry_Int_Tables_number 1
_cell_length_a 4.376
_cell_length_b 4.376
_cell_length_c 4.624
_cell_angle_alpha 90.00
_cell_angle_beta 90.00
_cell_angle_gamma 90.00
loop_
_symmetry_equiv_pos_as_xyz
'x,y,z'
loop_
_atom_site_label
_atom_site_fract_x
_atom_site_fract_y
_atom_site_fract_z
Pb1 0.000 0.000 0.000
Tl1 0.500 0.500 0.500
O1 0.000 0.500 0.000
O2 0.500 0.000 0.000
N1 0.000 0.000 0.500
# total magnetic moment	2.11	μB per formula unit
# energy relative to the elements, uncorrected	0.351	eV per atom
# space-group type	P4/mmm, No. 123
# energy	-4.51	eV/atom


6.
# PBE Sr2FeNiGe, relaxed
data_Sr2FeNiGe
_chemical_formula_sum 'Sr2 Fe1 Ni1 Ge1'
_symmetry_space_group_name_H-M 'P 1'
_symmetry_Int_Tables_number 1
_cell_length_a 5.929
_cell_length_b 4.480
_cell_length_c 5.929
_cell_angle_alpha 90.00
_cell_angle_beta 90.00
_cell_angle_gamma 90.00
loop_
_symmetry_equiv_pos_as_xyz
'x,y,z'
loop_
_atom_site_label
_atom_site_fract_x
_atom_site_fract_y
_atom_site_fract_z
Sr1 0.000 0.000 0.500
Sr2 0.500 0.000 0.000
Ge1 0.000 0.000 0.000
Fe1 0.000 0.500 0.000
Ni1 0.500 0.500 0.500
# total magnetic moment	3.26	μB per formula unit
# energy of formation	492	meV/atom
# space-group type	P4/mmm, No. 123
# energy	-3.95	eV/atom


7.
# PBE LiAc2Hg, relaxed
data_LiAc2Hg
_chemical_formula_sum 'Li1 Ac2 Hg1'
_symmetry_space_group_name_H-M 'P 1'
_symmetry_Int_Tables_number 1
_cell_length_a 3.969
_cell_length_b 3.969
_cell_length_c 10.925
_cell_angle_alpha 79.51
_cell_angle_beta 79.51
_cell_angle_gamma 59.96
loop_
_symmetry_equiv_pos_as_xyz
'x,y,z'
loop_
_atom_site_label
_atom_site_fract_x
_atom_site_fract_y
_atom_site_fract_z
Li1 0.500 0.500 0.500
Ac1 0.079 0.079 0.765
Ac2 0.255 0.255 0.235
Hg1 0.667 0.667 0.000
# total magnetic moment	0.00	μB per formula unit
# polymorph energy (0 for the lowest one)	15.6	kJ per mole of atoms
# energy of formation	-63	meV/atom
# space-group type	R3m, No. 160
# energy	-2.67	eV/atom


8.
# PBE CaIn2Ga, relaxed
data_CaIn2Ga
_chemical_formula_sum 'Ca1 In2 Ga1'
_symmetry_space_group_name_H-M 'P 1'
_symmetry_Int_Tables_number 1
_cell_length_a 3.505
_cell_length_b 3.505
_cell_length_c 11.155
_cell_angle_alpha 80.96
_cell_angle_beta 80.96
_cell_angle_gamma 60.00
loop_
_symmetry_equiv_pos_as_xyz
'x,y,z'
loop_
_atom_site_label
_atom_site_fract_x
_atom_site_fract_y
_atom_site_fract_z
Ca1 0.000 0.000 0.000
Ga1 0.500 0.500 0.500
In1 0.098 0.098 0.707
In2 0.902 0.902 0.293
# total magnetic moment	0.00	μB per formula unit
# energy of formation	116	meV/atom
# space-group type	R-3m, No. 166
# energy	-2.51	eV/atom


9.
# PBE ZnPt2W, relaxed
data_ZnPt2W
_chemical_formula_sum 'Zn1 Pt2 W1'
_symmetry_space_group_name_H-M 'P 1'
_symmetry_Int_Tables_number 1
_cell_length_a 2.793
_cell_length_b 2.793
_cell_length_c 7.840
_cell_angle_alpha 90.00
_cell_angle_beta 90.00
_cell_angle_gamma 90.00
loop_
_symmetry_equiv_pos_as_xyz
'x,y,z'
loop_
_atom_site_label
_atom_site_fract_x
_atom_site_fract_y
_atom_site_fract_z
Pt1 0.000 0.000 0.986
Pt2 0.500 0.500 0.258
W1 0.000 0.000 0.501
Zn1 0.500 0.500 0.755
# total magnetic moment	0.00	μB per formula unit
# energy of formation	-147	meV/atom
# space-group type	P4mm, No. 99
# energy	-6.72	eV/atom


10.
# PBE TiGaCl5, relaxed
data_TiGaCl5
_chemical_formula_sum 'Ti2 Ga2 Cl10'
_symmetry_space_group_name_H-M 'P 1'
_symmetry_Int_Tables_number 1
_cell_length_a 7.605
_cell_length_b 7.338
_cell_length_c 11.299
_cell_angle_alpha 67.47
_cell_angle_beta 79.45
_cell_angle_gamma 59.24
loop_
_symmetry_equiv_pos_as_xyz
'x,y,z'
loop_
_atom_site_label
_atom_site_fract_x
_atom_site_fract_y
_atom_site_fract_z
Ti1 0.925 0.044 0.052
Ti2 0.049 0.885 0.452
Ga1 0.155 0.909 0.781
Ga2 0.674 0.471 0.299
Cl1 0.987 0.235 0.827
Cl2 0.447 0.834 0.697
Cl3 0.082 0.204 0.388
Cl4 0.931 0.913 0.677
Cl5 0.165 0.697 0.989
Cl6 0.811 0.390 0.077
Cl7 0.133 0.827 0.241
Cl8 0.290 0.526 0.543
Cl9 0.704 0.050 0.406
Cl10 0.646 0.014 0.071
# total magnetic moment	1.00	μB per formula unit
# energy relative to the elements, uncorrected	-1.270	eV per atom
# space-group type	P1, No. 1
# energy	-4.15	eV/atom


11.
# PBE Fe2NiAs, relaxed
data_Fe2NiAs
_chemical_formula_sum 'Fe2 Ni1 As1'
_symmetry_space_group_name_H-M 'P 1'
_symmetry_Int_Tables_number 1
_cell_length_a 3.562
_cell_length_b 3.562
_cell_length_c 3.866
_cell_angle_alpha 90.00
_cell_angle_beta 90.00
_cell_angle_gamma 90.00
loop_
_symmetry_equiv_pos_as_xyz
'x,y,z'
loop_
_atom_site_label
_atom_site_fract_x
_atom_site_fract_y
_atom_site_fract_z
As1 0.000 0.500 0.500
Fe1 0.000 0.000 0.000
Fe2 0.500 0.500 0.000
Ni1 0.500 0.000 0.500
# total magnetic moment	5.36	μB per formula unit
# energy of formation	-43	meV/atom
# space-group type	P4/mmm, No. 123
# energy	-6.88	eV/atom


12.
# PBE TcNi2Se, relaxed
data_TcNi2Se
_chemical_formula_sum 'Tc1 Ni2 Se1'
_symmetry_space_group_name_H-M 'P 1'
_symmetry_Int_Tables_number 1
_cell_length_a 4.565
_cell_length_b 4.565
_cell_length_c 4.341
_cell_angle_alpha 71.34
_cell_angle_beta 71.34
_cell_angle_gamma 38.49
loop_
_symmetry_equiv_pos_as_xyz
'x,y,z'
loop_
_atom_site_label
_atom_site_fract_x
_atom_site_fract_y
_atom_site_fract_z
Ni1 0.017 0.017 0.946
Ni2 0.765 0.765 0.795
Se1 0.487 0.487 0.454
Tc1 0.231 0.231 0.305
# total magnetic moment	0.00	μB per formula unit
# energy relative to the elements, uncorrected	0.181	eV per atom
# space-group type	Cm, No. 8
# energy	-6.17	eV/atom


13.
# PBE In2CuBiTe, relaxed
data_In2CuBiTe
_chemical_formula_sum 'In2 Cu1 Bi1 Te1'
_symmetry_space_group_name_H-M 'P 1'
_symmetry_Int_Tables_number 1
_cell_length_a 5.083
_cell_length_b 5.461
_cell_length_c 5.083
_cell_angle_alpha 90.00
_cell_angle_beta 90.00
_cell_angle_gamma 90.00
loop_
_symmetry_equiv_pos_as_xyz
'x,y,z'
loop_
_atom_site_label
_atom_site_fract_x
_atom_site_fract_y
_atom_site_fract_z
Te1 0.500 0.500 0.500
Bi1 0.000 0.500 0.000
Cu1 0.000 0.000 0.000
In1 0.000 0.000 0.500
In2 0.500 0.000 0.000
# total magnetic moment	0.00	μB per formula unit
# energy relative to the elements, uncorrected	0.072	eV per atom
# space-group type	P4/mmm, No. 123
# energy	-3.25	eV/atom


14.
# PBE Ba2Ga4Ge2Pt, relaxed
data_Ba2Ga4Ge2Pt
_chemical_formula_sum 'Ba2 Ga4 Ge2 Pt1'
_symmetry_space_group_name_H-M 'P 1'
_symmetry_Int_Tables_number 1
_cell_length_a 6.643
_cell_length_b 6.643
_cell_length_c 6.643
_cell_angle_alpha 89.99
_cell_angle_beta 120.01
_cell_angle_gamma 120.01
loop_
_symmetry_equiv_pos_as_xyz
'x,y,z'
loop_
_atom_site_label
_atom_site_fract_x
_atom_site_fract_y
_atom_site_fract_z
Ba1 0.500 0.750 0.250
Ba2 0.500 0.250 0.750
Ga1 0.000 0.713 0.287
Ga2 0.425 0.713 0.713
Ga3 0.000 0.287 0.713
Ga4 0.575 0.287 0.287
Ge1 0.000 0.709 0.709
Ge2 0.000 0.291 0.291
Pt1 0.000 0.000 0.000
# total magnetic moment	0.00	μB per formula unit
# energy of formation	-464	meV/atom
# space-group type	I4/mmm, No. 139
# energy	-3.93	eV/atom


15.
# PBE TaTl2Rh, relaxed
data_TaTl2Rh
_chemical_formula_sum 'Ta1 Tl2 Rh1'
_symmetry_space_group_name_H-M 'P 1'
_symmetry_Int_Tables_number 1
_cell_length_a 4.842
_cell_length_b 4.842
_cell_length_c 4.842
_cell_angle_alpha 60.00
_cell_angle_beta 60.00
_cell_angle_gamma 60.00
loop_
_symmetry_equiv_pos_as_xyz
'x,y,z'
loop_
_atom_site_label
_atom_site_fract_x
_atom_site_fract_y
_atom_site_fract_z
Ta1 0.250 0.250 0.250
Tl1 0.000 0.000 0.000
Tl2 0.750 0.750 0.750
Rh1 0.500 0.500 0.500
# total magnetic moment	0.00	μB per formula unit
# polymorph energy (0 for the lowest one)	44.3	kJ per mole of atoms
# energy of formation	556	meV/atom
# space-group type	F-43m, No. 216
# energy	-5.43	eV/atom


16.
# PBE Nd3Zn5Au6, relaxed
data_Nd3Zn5Au6
_chemical_formula_sum 'Nd6 Zn10 Au12'
_symmetry_space_group_name_H-M 'P 1'
_symmetry_Int_Tables_number 1
_cell_length_a 4.575
_cell_length_b 9.233
_cell_length_c 13.468
_cell_angle_alpha 90.00
_cell_angle_beta 90.00
_cell_angle_gamma 90.00
loop_
_symmetry_equiv_pos_as_xyz
'x,y,z'
loop_
_atom_site_label
_atom_site_fract_x
_atom_site_fract_y
_atom_site_fract_z
Nd1 0.000 0.252 0.701
Nd2 0.500 0.748 0.201
Nd3 0.500 0.748 0.799
Nd4 0.000 0.242 0.000
Nd5 0.500 0.758 0.500
Nd6 0.000 0.252 0.299
Zn1 0.000 0.531 0.866
Zn2 0.000 0.901 0.669
Zn3 0.000 0.744 0.000
Zn4 0.500 0.469 0.634
Zn5 0.500 0.256 0.500
Zn6 0.000 0.531 0.134
Zn7 0.500 0.469 0.366
Zn8 0.000 0.901 0.331
Zn9 0.500 0.099 0.831
Zn10 0.500 0.099 0.169
Au1 0.000 0.962 0.866
Au2 0.500 0.038 0.634
Au3 0.500 0.379 0.837
Au4 0.500 0.574 0.000
Au5 0.000 0.426 0.500
Au6 0.000 0.621 0.663
Au7 0.000 0.621 0.337
Au8 0.500 0.945 0.000
Au9 0.000 0.962 0.134
Au10 0.500 0.379 0.163
Au11 0.000 0.055 0.500
Au12 0.500 0.038 0.366
# total magnetic moment	0.00	μB per formula unit
# energy of formation	-562	meV/atom
# space-group type	Pmmn, No. 59
# energy	-3.44	eV/atom


17.
# PBE U2BiSb, relaxed
data_U2BiSb
_chemical_formula_sum 'U2 Bi1 Sb1'
_symmetry_space_group_name_H-M 'P 1'
_symmetry_Int_Tables_number 1
_cell_length_a 4.209
_cell_length_b 4.209
_cell_length_c 8.404
_cell_angle_alpha 75.50
_cell_angle_beta 75.50
_cell_angle_gamma 60.00
loop_
_symmetry_equiv_pos_as_xyz
'x,y,z'
loop_
_atom_site_label
_atom_site_fract_x
_atom_site_fract_y
_atom_site_fract_z
U1 0.080 0.080 0.761
U2 0.253 0.253 0.240
Bi1 0.499 0.499 0.503
Sb1 0.668 0.668 0.997
# total magnetic moment	5.85	μB per formula unit
# polymorph energy (0 for the lowest one)	10.3	kJ per mole of atoms
# energy relative to the elements, uncorrected	0.067	eV per atom
# space-group type	R3m, No. 160
# energy	-7.58	eV/atom


18.
# PBE Pm3AlSn2, relaxed
data_Pm3AlSn2
_chemical_formula_sum 'Pm12 Al4 Sn8'
_symmetry_space_group_name_H-M 'P 1'
_symmetry_Int_Tables_number 1
_cell_length_a 4.502
_cell_length_b 12.196
_cell_length_c 12.553
_cell_angle_alpha 90.00
_cell_angle_beta 90.00
_cell_angle_gamma 90.00
loop_
_symmetry_equiv_pos_as_xyz
'x,y,z'
loop_
_atom_site_label
_atom_site_fract_x
_atom_site_fract_y
_atom_site_fract_z
Pm1 0.250 0.380 0.052
Pm2 0.750 0.620 0.948
Pm3 0.750 0.880 0.448
Pm4 0.250 0.120 0.552
Pm5 0.250 0.705 0.214
Pm6 0.750 0.295 0.786
Pm7 0.750 0.205 0.286
Pm8 0.250 0.795 0.714
Pm9 0.250 0.439 0.375
Pm10 0.750 0.561 0.625
Pm11 0.750 0.939 0.125
Pm12 0.250 0.061 0.875
Al1 0.250 0.131 0.132
Al2 0.750 0.869 0.868
Al3 0.750 0.631 0.368
Al4 0.250 0.369 0.632
Sn1 0.250 0.688 0.485
Sn2 0.750 0.312 0.515
Sn3 0.750 0.188 0.015
Sn4 0.250 0.812 0.985
Sn5 0.250 0.999 0.311
Sn6 0.750 0.001 0.689
Sn7 0.750 0.499 0.189
Sn8 0.250 0.501 0.811
# total magnetic moment	0.00	μB per formula unit
# polymorph energy (0 for the lowest one)	0.0	kJ per mole of atoms
# energy of formation	-646	meV/atom
# space-group type	Pnma, No. 62
# energy	-4.98	eV/atom


19.
# PBE Cs3PrP2O8, relaxed
data_Cs3PrP2O8
_chemical_formula_sum 'Cs3 Pr1 P2 O8'
_symmetry_space_group_name_H-M 'P 1'
_symmetry_Int_Tables_number 1
_cell_length_a 5.951
_cell_length_b 5.951
_cell_length_c 8.777
_cell_angle_alpha 90.00
_cell_angle_beta 90.00
_cell_angle_gamma 120.00
loop_
_symmetry_equiv_pos_as_xyz
'x,y,z'
loop_
_atom_site_label
_atom_site_fract_x
_atom_site_fract_y
_atom_site_fract_z
Cs1 0.333 0.667 0.771
Cs2 0.667 0.333 0.229
Cs3 0.000 0.000 0.000
Pr1 0.000 0.000 0.500
P1 0.333 0.667 0.283
P2 0.667 0.333 0.717
O1 0.333 0.667 0.108
O2 0.667 0.333 0.892
O3 0.190 0.810 0.344
O4 0.810 0.190 0.656
O5 0.190 0.380 0.344
O6 0.810 0.620 0.656
O7 0.620 0.810 0.344
O8 0.380 0.190 0.656
# total magnetic moment	0.00	μB per formula unit
# energy relative to the elements, uncorrected	-2.523	eV per atom
# space-group type	P-3m1, No. 164
# energy	-6.65	eV/atom